1.
Entry from the Alexandria database: a relaxed structure of Ti2Pd8Pt (PBE-GGA).

E_form: -0.442 eV per atom
Relative energy among the computed polymorphs: 0 meV per atom

a b c (Å): 14.0300 3.9990 6.3517
angles (deg): 90.00 107.93 90.00
Last column: nearest neighbours and their distance in Å.
Space group C2/m (No. 12)
Symmetry-distinct sites (fractional):
Ti1 0.2182 0.0000 0.1609  10 Pd 2.60-2.87
Pd1 0.0452 0.0000 0.2301  1 Ti 2.60, 6 Pd 2.74-2.86, 2 Pt 2.83
Pd2 0.0994 0.5000 0.9539  3 Ti 2.67-2.87, 7 Pd 2.75-2.91, 1 Pt 2.79
Pd3 0.1485 0.0000 0.7091  3 Ti 2.69-2.73, 7 Pd 2.75-2.94, 2 Pt 2.90
Pd4 0.1794 0.5000 0.4104  3 Ti 2.66-2.71, 8 Pd 2.74-2.88, 1 Pt 2.75
Pt1 0.0000 0.5000 0.5000  12 Pd 2.75-2.90

---

2.
Entry from the Alexandria database: a relaxed structure of PuSCl (PBE-GGA).

Relative energy among the computed polymorphs: 99 meV per atom
Formation energy without anion corrections: -1.687 eV per atom

a b c (Å): 4.0924 4.0924 6.3971
angles (deg): 90.00 90.00 120.00
Last column: nearest neighbours and their distance in Å.
Space group P3m1 (No. 156)
Symmetry-distinct sites (fractional):
Pu1 0.0000 0.0000 0.0000  3 S 2.68, 3 Cl 2.84
S1 0.3333 0.6667 0.8009  3 Pu 2.68
Cl1 0.6667 0.3333 0.2466  3 Pu 2.84

---

3.
Entry from the Alexandria database: a relaxed structure of SmUC (PBE-GGA).

E_form: 0.310 eV per atom
Relative energy among the computed polymorphs: 249 meV per atom

a b c (Å): 3.2384 3.2384 13.3383
angles (deg): 90.00 90.00 90.00
Last column: nearest neighbours and their distance in Å.
Space group I4mm (No. 107)
Symmetry-distinct sites (fractional):
Sm1 0.0000 0.0000 0.0000  1 C 2.42
U1 0.0000 0.0000 0.7213  4 C 2.35
C1 0.0000 0.0000 0.1816  4 U 2.35, 1 Sm 2.42

---

4.
Entry from the Alexandria database: a relaxed structure of Ce3BiRu2 (PBE-GGA).

E_form: -0.257 eV per atom

a b c (Å): 7.3258 10.3696 8.2199
angles (deg): 90.00 90.00 90.00
Last column: nearest neighbours and their distance in Å.
Space group Imma (No. 74)
Symmetry-distinct sites (fractional):
Ce1 0.2328 0.0000 0.0000  2 Ru 2.61
Ce2 0.2500 0.2500 0.2500  4 Ru 2.98, 4 Ce 3.31
Bi1 0.0000 0.2500 0.6265  2 Ru 3.04
Ru1 0.0000 0.0231 0.2380  2 Ce 2.61

---

5.
Entry from the Alexandria database: a relaxed structure of HoGa4Ru2Rh (PBE-GGA).

E_form: -0.509 eV per atom

a b c (Å): 4.2554 4.2554 25.0562
angles (deg): 90.00 90.00 120.00
Last column: nearest neighbours and their distance in Å.
Space group R-3m (No. 166, hexagonal axes)
Symmetry-distinct sites (fractional):
Ho1 0.0000 0.0000 0.0000  8 Ga 2.95-3.28
Ga1 0.0000 0.0000 0.1309  3 Rh 2.62, 4 Ru 2.63-2.74
Ga2 0.0000 0.0000 0.3983  1 Rh 2.55, 3 Ru 2.56
Ru1 0.0000 0.0000 0.2401  7 Ga 2.56-2.74
Rh1 0.0000 0.0000 0.5000  8 Ga 2.55-2.62

---

6.
Entry from the Alexandria database: a relaxed structure of AcCeTlSb (PBE-GGA).

Formation energy without anion corrections: -0.493 eV per atom

a b c (Å): 7.9961 7.9961 7.9961
angles (deg): 90.00 90.00 90.00
Last column: nearest neighbours and their distance in Å.
Space group F-43m (No. 216)
Symmetry-distinct sites (fractional):
Ac1 0.0000 0.0000 0.0000  4 Tl 3.46, 4 Sb 3.46
Ce1 0.0000 0.0000 0.5000  4 Sb 3.46, 4 Tl 3.46
Tl1 0.2500 0.2500 0.7500  4 Ce 3.46, 4 Ac 3.46
Sb1 0.2500 0.2500 0.2500  4 Ac 3.46, 4 Ce 3.46

---

7.
Entry from the Alexandria database: a relaxed structure of HgTeCl3 (PBE-GGA).

Relative energy among the computed polymorphs: 0 meV per atom
Formation energy without anion corrections: -0.493 eV per atom

a b c (Å): 7.5847 5.5816 17.7657
angles (deg): 90.00 105.52 90.00
Last column: nearest neighbours and their distance in Å.
Space group P2/c (No. 13)
Symmetry-distinct sites (fractional):
Hg1 0.0591 0.1567 0.1010  2 Cl 2.52-2.63, 1 Te 2.73
Te1 0.1030 0.4969 0.8315  1 Cl 2.42
Cl1 0.2077 0.2360 0.6728  1 Hg 2.63, 1 Te 2.75
Cl2 0.2138 0.1519 0.9920  1 Hg 2.52
Cl3 0.3519 0.2427 0.3233  1 Te 2.42

---

8.
Entry from the Alexandria database: a relaxed structure of FeSiPt3 (PBE-GGA).

Relative energy among the computed polymorphs: 606 meV per atom
Formation energy without anion corrections: 1.000 eV per atom

a b c (Å): 4.6014 4.6014 4.6014
angles (deg): 90.00 90.00 90.00
Last column: nearest neighbours and their distance in Å.
Space group Pm-3m (No. 221)
Symmetry-distinct sites (fractional):
Fe1 0.0000 0.0000 0.0000  6 Pt 2.30
Si1 0.5000 0.5000 0.5000  12 Pt 3.25
Pt1 0.0000 0.0000 0.5000  2 Fe 2.30

---

9.
Entry from the Alexandria database: a relaxed structure of Pm7Pr4Sm (PBE-GGA).

E_form: 0.015 eV per atom
Relative energy among the computed polymorphs: 0 meV per atom

a b c (Å): 6.4027 7.3797 9.1726
angles (deg): 89.91 76.46 89.93
Last column: nearest neighbours and their distance in Å.
Space group P-1 (No. 2)
Symmetry-distinct sites (fractional):
Pm1 0.0000 0.0000 0.0000  4 Pr 3.64-3.65, 6 Pm 3.64-3.70, 2 Sm 3.69
Pm2 0.2199 0.5000 0.3309  1 Sm 3.63, 6 Pm 3.64-3.70, 5 Pr 3.69-3.70
Pm3 0.2786 0.2517 0.6698  5 Pm 3.63-3.70, 1 Sm 3.63, 6 Pr 3.67-3.71
Pm4 0.4998 0.2513 0.9995  7 Pm 3.63-3.71, 3 Pr 3.64-3.65, 2 Sm 3.69
Pr1 0.2218 0.9999 0.3310  8 Pm 3.64-3.71, 4 Pr 3.68-3.71
Pr2 0.2796 0.7485 0.6687  1 Sm 3.64, 8 Pm 3.64-3.71, 3 Pr 3.70-3.71
Sm1 0.0000 0.5000 0.0000  10 Pm 3.63-3.69, 2 Pr 3.64

---

10.
Entry from the Alexandria database: a relaxed structure of Cs2KHgAs (PBE-GGA).

E_form: -0.110 eV per atom
Relative energy among the computed polymorphs: 53 meV per atom

a b c (Å): 7.3718 7.3718 5.4280
angles (deg): 90.00 90.00 90.00
Last column: nearest neighbours and their distance in Å.
Space group P4/mmm (No. 123)
Symmetry-distinct sites (fractional):
Cs1 0.0000 0.5000 0.0000  2 As 3.69
K1 0.0000 0.0000 0.5000  8 Cs 4.58
Hg1 0.5000 0.5000 0.5000  2 As 2.71
As1 0.5000 0.5000 0.0000  2 Hg 2.71

---

11.
Entry from the Alexandria database: a relaxed structure of POs (PBE-GGA).

E_form: -0.063 eV per atom

a b c (Å): 2.9804 2.9804 6.8725
angles (deg): 90.00 90.00 90.00
Last column: nearest neighbours and their distance in Å.
Space group I4mm (No. 107)
Symmetry-distinct sites (fractional):
P1 0.0000 0.0000 0.0000  5 Os 2.33-2.38
Os1 0.0000 0.0000 0.6605  5 P 2.33-2.38

---

12.
Entry from the Alexandria database: a relaxed structure of CrNi2Cl (PBE-GGA).

Relative energy among the computed polymorphs: 208 meV per atom
Formation energy without anion corrections: 0.398 eV per atom

a b c (Å): 9.0855 2.9485 4.0385
angles (deg): 90.00 91.30 90.00
Last column: nearest neighbours and their distance in Å.
Space group C2/m (No. 12)
Symmetry-distinct sites (fractional):
Cr1 0.0000 0.0000 0.0000  4 Cl 2.50, 6 Ni 2.68-2.69
Ni1 0.2220 0.5000 0.7632  1 Cl 2.26, 2 Ni 2.46
Cl1 0.0000 0.5000 0.5000  2 Ni 2.26, 4 Cr 2.50

---

13.
Entry from the Alexandria database: a relaxed structure of ScPI3 (PBE-GGA).

Relative energy among the computed polymorphs: 0 meV per atom
Formation energy without anion corrections: -0.150 eV per atom

a b c (Å): 5.7743 5.7743 5.7743
angles (deg): 90.00 90.00 90.00
Last column: nearest neighbours and their distance in Å.
Space group Pm-3m (No. 221)
Symmetry-distinct sites (fractional):
Sc1 0.0000 0.0000 0.0000  6 I 2.89
P1 0.5000 0.5000 0.5000  12 I 4.08
I1 0.0000 0.0000 0.5000  2 Sc 2.89

---

14.
Entry from the Alexandria database: a relaxed structure of KTl2BiPt (PBE-GGA).

E_form: -0.064 eV per atom

a b c (Å): 5.3666 5.3666 5.8528
angles (deg): 90.00 90.00 90.00
Last column: nearest neighbours and their distance in Å.
Space group P4/mmm (No. 123)
Symmetry-distinct sites (fractional):
K1 0.0000 0.0000 0.0000  4 Bi 3.79, 8 Tl 3.97
Tl1 0.0000 0.5000 0.5000  2 Pt 2.68
Bi1 0.5000 0.5000 0.0000  2 Pt 2.93
Pt1 0.5000 0.5000 0.5000  4 Tl 2.68, 2 Bi 2.93

---

15.
Entry from the Alexandria database: a relaxed structure of ZnAg4Pd5 (PBE-GGA).

E_form: -0.149 eV per atom

a b c (Å): 2.8785 2.8785 19.4305
angles (deg): 90.00 90.00 90.00
Last column: nearest neighbours and their distance in Å.
Space group P4/mmm (No. 123)
Symmetry-distinct sites (fractional):
Zn1 0.0000 0.0000 0.0000  8 Pd 2.62, 4 Zn 2.88
Ag1 0.0000 0.0000 0.1899  8 Pd 2.85-2.88, 4 Ag 2.88
Ag2 0.0000 0.0000 0.3965  8 Pd 2.86, 4 Ag 2.88
Pd1 0.5000 0.5000 0.0850  4 Zn 2.62, 4 Pd 2.88, 4 Ag 2.88
Pd2 0.5000 0.5000 0.2929  8 Ag 2.85-2.86, 4 Pd 2.88
Pd3 0.5000 0.5000 0.5000  8 Ag 2.86, 4 Pd 2.88

---

16.
Entry from the Alexandria database: a relaxed structure of Cu3SiNi4 (PBE-GGA).

Formation energy without anion corrections: -0.187 eV per atom

a b c (Å): 3.7027 3.7027 13.0797
angles (deg): 90.00 90.00 90.00
Last column: nearest neighbours and their distance in Å.
Space group I4/mmm (No. 139)
Symmetry-distinct sites (fractional):
Cu1 0.0000 0.0000 0.0000  8 Ni 2.42, 4 Si 2.62
Cu2 0.0000 0.0000 0.2488  8 Ni 2.51-2.53, 4 Cu 2.62
Si1 0.0000 0.0000 0.5000  8 Ni 2.42, 4 Cu 2.62
Ni1 0.0000 0.5000 0.1194  6 Cu 2.42-2.53, 2 Si 2.42, 4 Ni 2.62

---

17.
Entry from the Alexandria database: a relaxed structure of KZrTl (PBE-GGA).

E_form: 0.486 eV per atom
Relative energy among the computed polymorphs: 463 meV per atom

a b c (Å): 5.6043 5.6043 7.7202
angles (deg): 90.00 90.00 90.00
Last column: nearest neighbours and their distance in Å.
Space group P4/nmm (No. 129, origin choice 2)
Symmetry-distinct sites (fractional):
K1 0.2500 0.2500 0.1349  1 Zr 3.55, 4 Tl 3.97
Zr1 0.2500 0.2500 0.5953  4 Tl 2.90
Tl1 0.2500 0.7500 0.5000  4 Zr 2.90

---

18.
Entry from the Alexandria database: a relaxed structure of CaAcHg (PBE-GGA).

E_form: -0.298 eV per atom
Relative energy among the computed polymorphs: 24 meV per atom

a b c (Å): 15.8189 4.0026 7.3169
angles (deg): 90.00 111.42 90.00
Last column: nearest neighbours and their distance in Å.
Space group C2/m (No. 12)
Symmetry-distinct sites (fractional):
Ca1 0.0153 0.0000 0.2603  4 Hg 3.18-3.26
Ac1 0.2076 0.5000 0.7032  3 Hg 3.32-3.49
Hg1 0.1174 0.5000 0.0725  4 Ca 3.18-3.26, 3 Ac 3.32-3.49, 1 Hg 3.47

---

19.
Entry from the Alexandria database: a relaxed structure of ZrSc3Hg (PBE-GGA).

E_form: -0.107 eV per atom
Relative energy among the computed polymorphs: 0 meV per atom

a b c (Å): 15.3248 3.2801 9.8999
angles (deg): 90.00 107.65 90.00
Last column: nearest neighbours and their distance in Å.
Space group C2/m (No. 12)
Symmetry-distinct sites (fractional):
Zr1 0.0989 0.0000 0.0522  1 Zr 2.89, 8 Sc 2.94-3.23
Sc1 0.0054 0.5000 0.7682  2 Hg 3.00-3.15, 4 Zr 3.18-3.19, 4 Sc 3.28-3.29
Sc2 0.1881 0.0000 0.3600  1 Zr 2.94, 3 Hg 2.96-3.05, 6 Sc 3.28-3.29
Sc3 0.2109 0.0000 0.8442  3 Zr 3.05-3.23, 2 Hg 3.25, 6 Sc 3.28-3.38
Hg1 0.1092 0.5000 0.5554  7 Sc 2.96-3.25, 3 Hg 3.19-3.28

---

20.
Entry from the Alexandria database: a relaxed structure of BaScCl2 (PBE-GGA).

Relative energy among the computed polymorphs: 303 meV per atom
Formation energy without anion corrections: -1.051 eV per atom

a b c (Å): 4.2241 4.2241 14.1902
angles (deg): 90.00 90.00 90.00
Last column: nearest neighbours and their distance in Å.
Space group I-4m2 (No. 119)
Symmetry-distinct sites (fractional):
Ba1 0.0000 0.0000 0.0000  4 Cl 2.99
Sc1 0.0000 0.5000 0.2500  4 Cl 2.99
Cl1 0.0000 0.0000 0.5000  4 Ba 2.99
Cl2 0.0000 0.5000 0.7500  4 Sc 2.99